Material: Al2RePt
Method: DFT, GGA-PBE
State: optimized geometry

a = 5.060 Å, b = 5.060 Å, c = 4.596 Å
α = 70.03°, β = 70.03°, γ = 32.31°
Positions (direct):
Re 0.752 0.752 0.830
Al 0.004 0.004 0.923
Al 0.246 0.246 0.327
Pt 0.498 0.498 0.420

Calculated values
Total moment (μB per cell): 0.00
ΔE_f (eV per atom): -0.4954